# Ac5YS6, relaxed, DFT PBE
# SG = C2/m, No. 12
# calculated density = 7.25 Mg/m³
# raw formation energy = -1.9888 eV/atom
# crystal system = monoclinic
data_Ac5YS6
_space_group_name_H-M_alt 'P 1'
_space_group_IT_number 1
_cell_length_a 7.3516
_cell_length_b 7.3516
_cell_length_c 7.3601
_cell_angle_alpha 99.66
_cell_angle_beta 99.66
_cell_angle_gamma 120.06
loop_
_space_group_symop_operation_xyz
'x,y,z'
loop_
_atom_site_label
_atom_site_type_symbol
_atom_site_fract_x
_atom_site_fract_y
_atom_site_fract_z
Ac1 Ac 0.0000 0.0000 0.0000
Ac2 Ac 0.1658 0.8342 0.5000
Ac3 Ac 0.3289 0.6711 0.0000
Ac4 Ac 0.6711 0.3289 0.0000
Ac5 Ac 0.8342 0.1658 0.5000
Y1 Y 0.5000 0.5000 0.5000
S1 S 0.1045 0.4219 0.2634
S2 S 0.2646 0.2646 0.7434
S3 S 0.4219 0.1045 0.2634
S4 S 0.5781 0.8955 0.7366
S5 S 0.7354 0.7354 0.2566
S6 S 0.8955 0.5781 0.7366

***

# Ba2SmBiO5, relaxed, DFT PBE
# SG = Cmc2_1, No. 36
# calculated density = 6.87 Mg/m³
# raw formation energy = -2.3726 eV/atom
# crystal system = orthorhombic
data_Ba2SmBiO5
_space_group_name_H-M_alt 'P 1'
_space_group_IT_number 1
_cell_length_a 7.6789
_cell_length_b 7.6789
_cell_length_c 12.3713
_cell_angle_alpha 90.00
_cell_angle_beta 90.00
_cell_angle_gamma 151.76
loop_
_space_group_symop_operation_xyz
'x,y,z'
loop_
_atom_site_label
_atom_site_type_symbol
_atom_site_fract_x
_atom_site_fract_y
_atom_site_fract_z
Ba1 Ba 0.1016 0.8984 0.5000
Ba2 Ba 0.1440 0.8560 0.0768
Ba3 Ba 0.8560 0.1440 0.5768
Ba4 Ba 0.8984 0.1016 0.0000
Sm1 Sm 0.2291 0.7709 0.8158
Sm2 Sm 0.7709 0.2291 0.3158
Bi1 Bi 0.4744 0.5256 0.2721
Bi2 Bi 0.5256 0.4744 0.7721
O1 O 0.0690 0.9310 0.8652
O2 O 0.2705 0.7295 0.4448
O3 O 0.2964 0.7036 0.2003
O4 O 0.3830 0.6170 0.8307
O5 O 0.4879 0.5121 0.5939
O6 O 0.5121 0.4879 0.0939
O7 O 0.6170 0.3830 0.3307
O8 O 0.7036 0.2964 0.7003
O9 O 0.7295 0.2705 0.9448
O10 O 0.9310 0.0690 0.3652

***

# FeCoPd4, relaxed, DFT PBE
# formation energy from the elements = -0.051 eV per atom
# SG = P4/mmm, No. 123
# calculated density = 10.52 Mg/m³
# crystal system = tetragonal
# energy relative to the lowest polymorph listed for this composition = 0 meV per atom
data_FeCoPd4
_space_group_name_H-M_alt 'P 1'
_space_group_IT_number 1
_cell_length_a 2.7380
_cell_length_b 2.7380
_cell_length_c 11.3744
_cell_angle_alpha 90.00
_cell_angle_beta 90.00
_cell_angle_gamma 90.00
loop_
_space_group_symop_operation_xyz
'x,y,z'
loop_
_atom_site_label
_atom_site_type_symbol
_atom_site_fract_x
_atom_site_fract_y
_atom_site_fract_z
Fe1 Fe 0.0000 0.0000 0.0000
Co1 Co 0.5000 0.5000 0.5000
Pd1 Pd 0.0000 0.0000 0.3441
Pd2 Pd 0.0000 0.0000 0.6559
Pd3 Pd 0.5000 0.5000 0.1596
Pd4 Pd 0.5000 0.5000 0.8404